1.
Entry from Alexandria via LeMat-Bulk: Al2MoPt after structural relaxation (PBE-GGA).

Values from the calculation:
- DFT total energy (eV per atom) = -6.224
- formation energy (eV/f.u.) = -0.540

The structure in CIF format:
```
data_Al2MoPt
_symmetry_space_group_name_H-M 'F -4 3 m'
_symmetry_Int_Tables_number 216
_symmetry_space_group_name_Hall 'F -4 2 3'
_cell_length_a 6.2914
_cell_length_b 6.2914
_cell_length_c 6.2914
_cell_angle_alpha 90.00
_cell_angle_beta 90.00
_cell_angle_gamma 90.00
loop_
_atom_site_label
_atom_site_type_symbol
_atom_site_fract_x
_atom_site_fract_y
_atom_site_fract_z
Al1 Al 0.0000 0.0000 0.0000
Al2 Al 0.2500 0.2500 0.2500
Mo1 Mo 0.0000 0.0000 0.5000
Pt1 Pt 0.2500 0.2500 0.7500
```

---

2.
Entry from Alexandria via LeMat-Bulk: Al2MoPt after structural relaxation (PBE-GGA).

Values from the calculation:
- DFT total energy (eV per atom) = -6.680
- formation energy (eV/f.u.) = -2.361

The structure in CIF format:
```
data_Al2MoPt
_symmetry_space_group_name_H-M 'P 4/m m m'
_symmetry_Int_Tables_number 123
_symmetry_space_group_name_Hall '-P 4 2'
_cell_length_a 4.2323
_cell_length_b 4.2323
_cell_length_c 3.3122
_cell_angle_alpha 90.00
_cell_angle_beta 90.00
_cell_angle_gamma 90.00
loop_
_atom_site_label
_atom_site_type_symbol
_atom_site_fract_x
_atom_site_fract_y
_atom_site_fract_z
Al1 Al 0.0000 0.5000 0.0000
Mo1 Mo 0.0000 0.0000 0.5000
Pt1 Pt 0.5000 0.5000 0.5000
```

---

3.
Entry from Alexandria via LeMat-Bulk: Al2MoPt9 after structural relaxation (PBE-GGA).

Values from the calculation:
- DFT total energy (eV per atom) = -6.614
- formation energy (eV/f.u.) = -6.689

The structure in CIF format:
```
data_Al2MoPt9
_symmetry_space_group_name_H-M 'P 4/m m m'
_symmetry_Int_Tables_number 123
_symmetry_space_group_name_Hall '-P 4 2'
_cell_length_a 3.9373
_cell_length_b 3.9373
_cell_length_c 11.8253
_cell_angle_alpha 90.00
_cell_angle_beta 90.00
_cell_angle_gamma 90.00
loop_
_atom_site_label
_atom_site_type_symbol
_atom_site_fract_x
_atom_site_fract_y
_atom_site_fract_z
Al1 Al 0.0000 0.0000 0.1588
Mo1 Mo 0.0000 0.0000 0.5000
Pt1 Pt 0.0000 0.5000 0.0000
Pt2 Pt 0.0000 0.5000 0.3347
Pt3 Pt 0.5000 0.5000 0.1668
Pt4 Pt 0.5000 0.5000 0.5000
```

---

4.
Entry from Alexandria via LeMat-Bulk: AlMoPt after structural relaxation (PBE-GGA).

Values from the calculation:
- DFT total energy (eV per atom) = -7.230
- formation energy (eV/f.u.) = -1.075

The structure in CIF format:
```
data_AlMoPt
_symmetry_space_group_name_H-M 'P -6 m 2'
_symmetry_Int_Tables_number 187
_symmetry_space_group_name_Hall 'P -6 2'
_cell_length_a 4.3725
_cell_length_b 4.3725
_cell_length_c 2.7677
_cell_angle_alpha 90.00
_cell_angle_beta 90.00
_cell_angle_gamma 120.00
loop_
_atom_site_label
_atom_site_type_symbol
_atom_site_fract_x
_atom_site_fract_y
_atom_site_fract_z
Al1 Al 0.0000 0.0000 0.0000
Mo1 Mo 0.6667 0.3333 0.5000
Pt1 Pt 0.3333 0.6667 0.0000
```

---

5.
Entry from Alexandria via LeMat-Bulk: AlMo2Pt after structural relaxation (PBE-GGA).

Values from the calculation:
- DFT total energy (eV per atom) = -8.126
- formation energy (eV/f.u.) = -1.057

The structure in CIF format:
```
data_AlMo2Pt
_symmetry_space_group_name_H-M 'C m m m'
_symmetry_Int_Tables_number 65
_symmetry_space_group_name_Hall '-C 2 2'
_cell_length_a 5.2194
_cell_length_b 8.6246
_cell_length_c 2.7331
_cell_angle_alpha 90.00
_cell_angle_beta 90.00
_cell_angle_gamma 90.00
loop_
_atom_site_label
_atom_site_type_symbol
_atom_site_fract_x
_atom_site_fract_y
_atom_site_fract_z
Al1 Al 0.0000 0.0000 0.0000
Mo1 Mo 0.2500 0.2500 0.5000
Pt1 Pt 0.0000 0.5000 0.0000
```

---

6.
Entry from Alexandria via LeMat-Bulk: AlMoPt after structural relaxation (PBE-GGA).

Values from the calculation:
- DFT total energy (eV per atom) = -7.332
- formation energy (eV/f.u.) = -1.383

The structure in CIF format:
```
data_AlMoPt
_symmetry_space_group_name_H-M 'I 4 m m'
_symmetry_Int_Tables_number 107
_symmetry_space_group_name_Hall 'I 4 -2'
_cell_length_a 2.7809
_cell_length_b 2.7809
_cell_length_c 11.7335
_cell_angle_alpha 90.00
_cell_angle_beta 90.00
_cell_angle_gamma 90.00
loop_
_atom_site_label
_atom_site_type_symbol
_atom_site_fract_x
_atom_site_fract_y
_atom_site_fract_z
Al1 Al 0.0000 0.0000 0.0000
Mo1 Mo 0.0000 0.0000 0.3299
Pt1 Pt 0.0000 0.0000 0.6576
```

---

7.
Entry from Alexandria via LeMat-Bulk: Al2SiMoPt after structural relaxation (PBE-GGA).

Values from the calculation:
- DFT total energy (eV per atom) = -5.269
- formation energy from raw total energies (eV/atom) = 0.69

The structure in CIF format:
```
data_Al2SiMoPt
_symmetry_space_group_name_H-M 'P 4/m m m'
_symmetry_Int_Tables_number 123
_symmetry_space_group_name_Hall '-P 4 2'
_cell_length_a 4.6136
_cell_length_b 4.6136
_cell_length_c 5.0265
_cell_angle_alpha 90.00
_cell_angle_beta 90.00
_cell_angle_gamma 90.00
loop_
_atom_site_label
_atom_site_type_symbol
_atom_site_fract_x
_atom_site_fract_y
_atom_site_fract_z
Al1 Al 0.0000 0.5000 0.0000
Si1 Si 0.0000 0.0000 0.5000
Mo1 Mo 0.5000 0.5000 0.5000
Pt1 Pt 0.5000 0.5000 0.0000
```

---

8.
Entry from Alexandria via LeMat-Bulk: SrAlMo2Pt after structural relaxation (PBE-GGA).

Values from the calculation:
- DFT total energy (eV per atom) = -3.935
- formation energy (eV/f.u.) = 13.453

The structure in CIF format:
```
data_SrAlMo2Pt
_symmetry_space_group_name_H-M 'P 4/m m m'
_symmetry_Int_Tables_number 123
_symmetry_space_group_name_Hall '-P 4 2'
_cell_length_a 4.7293
_cell_length_b 4.7293
_cell_length_c 5.0224
_cell_angle_alpha 90.00
_cell_angle_beta 90.00
_cell_angle_gamma 90.00
loop_
_atom_site_label
_atom_site_type_symbol
_atom_site_fract_x
_atom_site_fract_y
_atom_site_fract_z
Sr1 Sr 0.0000 0.0000 0.0000
Al1 Al 0.0000 0.0000 0.5000
Mo1 Mo 0.0000 0.5000 0.0000
Pt1 Pt 0.5000 0.5000 0.5000
```